Entry a
# InHgAs2 (GGA-PBE, relaxed)
# ρ (Mg/m³): 8.54
# Magnetization (μB per atom): 0.000
data_InHgAs2
_chemical_formula_sum 'In2 Hg2 As4'
_cell_length_a 4.481
_cell_length_b 4.481
_cell_length_c 9.012
_cell_angle_alpha 90.00
_cell_angle_beta 90.00
_cell_angle_gamma 90.00
_symmetry_space_group_name_H-M 'I 4/m m m'
_symmetry_Int_Tables_number 139
_symmetry_space_group_name_Hall '-I 4 2'
loop_
_atom_site_label
_atom_site_fract_x
_atom_site_fract_y
_atom_site_fract_z
In1 0.000 0.000 0.000
Hg1 0.000 0.000 0.500
As1 0.000 0.500 0.250

=====

Entry b
# InHgAs2 (GGA-PBE, relaxed)
# ρ (Mg/m³): 7.76
# Magnetization (μB per atom): 0.000
data_InHgAs2
_chemical_formula_sum 'In1 Hg1 As2'
_cell_length_a 2.950
_cell_length_b 3.613
_cell_length_c 9.356
_cell_angle_alpha 90.00
_cell_angle_beta 93.28
_cell_angle_gamma 90.00
_symmetry_space_group_name_H-M 'P 1 m 1'
_symmetry_Int_Tables_number 6
loop_
_symmetry_equiv_pos_as_xyz
'x,y,z'
'x,-y,z'
loop_
_atom_site_label
_atom_site_fract_x
_atom_site_fract_y
_atom_site_fract_z
In1 0.000 0.000 0.000
Hg1 0.036 0.500 0.278
As1 0.049 0.500 0.735
As2 0.993 0.000 0.546

=====

According to the calculations, the structures order from most to least stable as entry b, entry a.

=====

Entry a
# InHg3As (GGA-PBE, relaxed)
# ρ (Mg/m³): 7.29
# Magnetization (μB per atom): 0.425
data_InHg3As
_chemical_formula_sum 'In1 Hg3 As1'
_cell_length_a 5.649
_cell_length_b 5.649
_cell_length_c 5.649
_cell_angle_alpha 90.00
_cell_angle_beta 90.00
_cell_angle_gamma 90.00
_symmetry_space_group_name_H-M 'P m -3 m'
_symmetry_Int_Tables_number 221
_symmetry_space_group_name_Hall '-P 4 2 3'
loop_
_atom_site_label
_atom_site_fract_x
_atom_site_fract_y
_atom_site_fract_z
In1 0.000 0.000 0.000
Hg1 0.000 0.000 0.500
As1 0.500 0.500 0.500

=====

Entry b
# InHg3As (GGA-PBE, relaxed)
# ρ (Mg/m³): 8.32
# Magnetization (μB per atom): 0.000
data_InHg3As
_chemical_formula_sum 'In1 Hg3 As1'
_cell_length_a 5.406
_cell_length_b 5.406
_cell_length_c 5.406
_cell_angle_alpha 90.00
_cell_angle_beta 90.00
_cell_angle_gamma 90.00
_symmetry_space_group_name_H-M 'P m -3 m'
_symmetry_Int_Tables_number 221
_symmetry_space_group_name_Hall '-P 4 2 3'
loop_
_atom_site_label
_atom_site_fract_x
_atom_site_fract_y
_atom_site_fract_z
In1 0.000 0.000 0.000
Hg1 0.000 0.500 0.500
As1 0.500 0.500 0.500

=====

According to the calculations, the structures order from most to least stable as entry b, entry a.

=====

Entry a
# InHgAs (GGA-PBE, relaxed)
# ρ (Mg/m³): 6.31
# Magnetization (μB per atom): 0.000
data_InHgAs
_chemical_formula_sum 'In2 Hg2 As2'
_cell_length_a 4.3793
_cell_length_b 4.3793
_cell_length_c 12.3734
_cell_angle_alpha 90.00
_cell_angle_beta 90.00
_cell_angle_gamma 120.00
_symmetry_space_group_name_H-M 'P -3 m 1'
_symmetry_Int_Tables_number 164
_symmetry_space_group_name_Hall '-P 3 2"'
loop_
_atom_site_label
_atom_site_fract_x
_atom_site_fract_y
_atom_site_fract_z
In1 0.3333 0.6667 0.4135
Hg1 0.0000 0.0000 0.1317
As1 0.3333 0.6667 0.6596

=====

Entry b
# InHgAs (GGA-PBE, relaxed)
# ρ (Mg/m³): 7.87
# Magnetization (μB per atom): 0.000
data_InHgAs
_chemical_formula_sum 'In4 Hg4 As4'
_cell_length_a 6.906
_cell_length_b 6.906
_cell_length_c 6.906
_cell_angle_alpha 90.00
_cell_angle_beta 90.00
_cell_angle_gamma 90.00
_symmetry_space_group_name_H-M 'F -4 3 m'
_symmetry_Int_Tables_number 216
_symmetry_space_group_name_Hall 'F -4 2 3'
loop_
_atom_site_label
_atom_site_fract_x
_atom_site_fract_y
_atom_site_fract_z
In1 0.000 0.000 0.000
Hg1 0.000 0.000 0.500
As1 0.250 0.250 0.750

=====

Entry c
# InHgAs (GGA-PBE, relaxed)
# ρ (Mg/m³): 9.02
# Magnetization (μB per atom): 0.000
data_InHgAs
_chemical_formula_sum 'In1 Hg1 As1'
_cell_length_a 5.0991
_cell_length_b 5.0991
_cell_length_c 3.1921
_cell_angle_alpha 90.00
_cell_angle_beta 90.00
_cell_angle_gamma 120.00
_symmetry_space_group_name_H-M 'P 3 m 1'
_symmetry_Int_Tables_number 156
loop_
_symmetry_equiv_pos_as_xyz
'x,y,z'
'-y,x-y,z'
'-x+y,-x,z'
'-y,-x,z'
'-x+y,y,z'
'x,x-y,z'
loop_
_atom_site_label
_atom_site_fract_x
_atom_site_fract_y
_atom_site_fract_z
In1 0.0000 0.0000 0.0000
Hg1 0.3333 0.6667 0.4966
As1 0.6667 0.3333 0.4873

=====

According to the calculations, the structures order from most to least stable as entry a, entry b, entry c.

=====

Entry a
# InHgAs (GGA-PBE, relaxed)
# ρ (Mg/m³): 8.92
# Magnetization (μB per atom): 0.000
data_InHgAs
_chemical_formula_sum 'In2 Hg2 As2'
_cell_length_a 3.098
_cell_length_b 5.217
_cell_length_c 8.985
_cell_angle_alpha 90.00
_cell_angle_beta 90.00
_cell_angle_gamma 90.00
_symmetry_space_group_name_H-M 'I m m 2'
_symmetry_Int_Tables_number 44
loop_
_symmetry_equiv_pos_as_xyz
'x,y,z'
'-x,-y,z'
'-x,y,z'
'x,-y,z'
'x+1/2,y+1/2,z+1/2'
'-x+1/2,-y+1/2,z+1/2'
'-x+1/2,y+1/2,z+1/2'
'x+1/2,-y+1/2,z+1/2'
loop_
_atom_site_label
_atom_site_fract_x
_atom_site_fract_y
_atom_site_fract_z
In1 0.000 0.000 0.000
Hg1 0.000 0.000 0.333
As1 0.000 0.000 0.659

=====

Entry b
# InHgAs (GGA-PBE, relaxed)
# ρ (Mg/m³): 8.50
# Magnetization (μB per atom): 0.000
data_InHgAs
_chemical_formula_sum 'In2 Hg2 As2'
_cell_length_a 2.991
_cell_length_b 2.991
_cell_length_c 17.042
_cell_angle_alpha 90.00
_cell_angle_beta 90.00
_cell_angle_gamma 90.00
_symmetry_space_group_name_H-M 'I 4 m m'
_symmetry_Int_Tables_number 107
_symmetry_space_group_name_Hall 'I 4 -2'
loop_
_atom_site_label
_atom_site_fract_x
_atom_site_fract_y
_atom_site_fract_z
In1 0.000 0.000 0.000
Hg1 0.000 0.000 0.686
As1 0.000 0.000 0.358

=====

According to the calculations, the structures order from most to least stable as entry b, entry a.

=====

Entry a
# HgAsIr (GGA-PBE, relaxed)
# ρ (Mg/m³): 13.17
# Magnetization (μB per atom): 0.000
data_HgAsIr
_chemical_formula_sum 'Hg2 As2 Ir2'
_cell_length_a 3.004
_cell_length_b 3.004
_cell_length_c 13.073
_cell_angle_alpha 90.00
_cell_angle_beta 90.00
_cell_angle_gamma 90.00
_symmetry_space_group_name_H-M 'I 4 m m'
_symmetry_Int_Tables_number 107
_symmetry_space_group_name_Hall 'I 4 -2'
loop_
_atom_site_label
_atom_site_fract_x
_atom_site_fract_y
_atom_site_fract_z
Hg1 0.000 0.000 0.000
As1 0.000 0.000 0.278
Ir1 0.000 0.000 0.672

=====

Entry b
# HgAsIr (GGA-PBE, relaxed)
# ρ (Mg/m³): 11.01
# Magnetization (μB per atom): 0.000
data_HgAsIr
_chemical_formula_sum 'Hg4 As4 Ir4'
_cell_length_a 3.831
_cell_length_b 3.831
_cell_length_c 19.228
_cell_angle_alpha 90.00
_cell_angle_beta 90.00
_cell_angle_gamma 90.00
_symmetry_space_group_name_H-M 'I 4/m m m'
_symmetry_Int_Tables_number 139
_symmetry_space_group_name_Hall '-I 4 2'
loop_
_atom_site_label
_atom_site_fract_x
_atom_site_fract_y
_atom_site_fract_z
Hg1 0.000 0.000 0.201
As1 0.000 0.000 0.413
Ir1 0.000 0.500 0.000

=====

According to the calculations, the structures order from most to least stable as entry a, entry b.

=====

Entry a
# HgAsIr (GGA-PBE, relaxed)
# ρ (Mg/m³): 11.99
# Magnetization (μB per atom): 0.000
data_HgAsIr
_chemical_formula_sum 'Hg2 As2 Ir2'
_cell_length_a 3.487
_cell_length_b 6.123
_cell_length_c 6.753
_cell_angle_alpha 109.79
_cell_angle_beta 104.29
_cell_angle_gamma 94.00
_symmetry_space_group_name_H-M 'P 1'
_symmetry_Int_Tables_number 1
loop_
_symmetry_equiv_pos_as_xyz
'x,y,z'
loop_
_atom_site_label
_atom_site_fract_x
_atom_site_fract_y
_atom_site_fract_z
Hg1 0.000 0.000 0.000
Hg2 0.455 0.929 0.537
As1 0.738 0.578 0.993
As2 0.934 0.399 0.456
Ir1 0.103 0.315 0.780
Ir2 0.341 0.471 0.246

=====

Entry b
# HgAsIr (GGA-PBE, relaxed)
# ρ (Mg/m³): 12.81
# Magnetization (μB per atom): 0.000
data_HgAsIr
_chemical_formula_sum 'Hg4 As4 Ir4'
_cell_length_a 13.171
_cell_length_b 3.030
_cell_length_c 6.779
_cell_angle_alpha 90.00
_cell_angle_beta 116.32
_cell_angle_gamma 90.00
_symmetry_space_group_name_H-M 'C 1 m 1'
_symmetry_Int_Tables_number 8
loop_
_symmetry_equiv_pos_as_xyz
'x,y,z'
'x,-y,z'
'x+1/2,y+1/2,z'
'x+1/2,-y+1/2,z'
loop_
_atom_site_label
_atom_site_fract_x
_atom_site_fract_y
_atom_site_fract_z
Hg1 0.000 0.000 0.000
Hg2 0.242 0.500 0.986
As1 0.087 0.000 0.451
As2 0.331 0.500 0.439
Ir1 0.004 0.500 0.626
Ir2 0.291 0.000 0.682

=====

According to the calculations, the structures order from most to least stable as entry a, entry b.